Entry 1:
Here is crystalline Na4HgO at its relaxed geometry from Alexandria via LeMat-Bulk. Energies are from GGA-PBE.

Summary:
Formation energy without anion corrections: -0.52 eV per atom
Fermi-level density of states: 3.36 states/eV/cell
DFT total energy: -13.651 eV for the cell shown
Spin magnetization: 0.17 Bohr magnetons per cell
V: 135.6 Å³ per cell
Distance to the lowest polymorph of the same formula: 64 meV per atom

Cell: 4.1921 4.1921 7.7161 Å, 89.99 89.99 90.00°
Atoms (fractional coordinates):
Na 0.5010 0.9969 0.3181
Na 0.5017 0.9976 0.6782
Na 0.0016 0.4976 0.6782
Na 0.0011 0.4968 0.3181
Hg 0.5013 0.4973 0.9982
O 0.0012 0.9974 0.4981


Entry 2:
Here is crystalline NaHgO at its relaxed geometry from Alexandria via LeMat-Bulk. Energies are from GGA-PBE.

Summary:
Formation energy without anion corrections: -0.53 eV per atom
DFT total energy: -16.325 eV for the cell shown
Spin magnetization: 0.00 Bohr magnetons per cell
V: 141.1 Å³ per cell
Distance to the lowest polymorph of the same formula: 198 meV per atom

Cell: 5.8373 4.1076 6.8815 Å, 107.36 115.10 90.00°
Atoms (fractional coordinates):
Na 0.3148 0.8148 0.6296
Na 0.6852 0.1852 0.3704
Hg 0.2703 0.5000 0.0000
Hg 0.7297 0.5000 0.0000
O 0.8680 0.3680 0.7360
O 0.1320 0.6320 0.2640


Entry 3:
Here is crystalline Na2Hg2O3 at its relaxed geometry from Alexandria via LeMat-Bulk. Energies are from GGA-PBE.

Summary:
Formation energy without anion corrections: -0.78 eV per atom
DFT total energy: -23.546 eV for the cell shown
Spin magnetization: 0.00 Bohr magnetons per cell
V: 113.6 Å³ per cell
Distance to the lowest polymorph of the same formula: 0 meV per atom

Cell: 3.5804 6.0381 6.9822 Å, 52.35 75.14 72.75°
Atoms (fractional coordinates):
Na 0.3672 0.3737 0.8917
Na 0.6328 0.6263 0.1083
Hg 0.1225 0.1122 0.6430
Hg 0.8775 0.8878 0.3570
O 0.0000 0.0000 0.0000
O 0.2192 0.2839 0.2779
O 0.7808 0.7161 0.7221


Entry 4:
Here is crystalline Na3HgO at its relaxed geometry from Alexandria via LeMat-Bulk. Energies are from GGA-PBE.

Summary:
Formation energy without anion corrections: -0.78 eV per atom
Fermi-level density of states: 1.87 states/eV/cell
DFT total energy: -26.265 eV for the cell shown
Spin magnetization: 0.00 Bohr magnetons per cell
V: 228.8 Å³ per cell
Distance to the lowest polymorph of the same formula: 0 meV per atom

Cell: 4.5008 6.2773 9.4660 Å, 111.94 90.00 111.01°
Atoms (fractional coordinates):
Na 0.0907 0.1814 0.1561
Na 0.9093 0.8186 0.8439
Na 0.6640 0.3280 0.9501
Na 0.3360 0.6720 0.0499
Na 0.8981 0.7961 0.3150
Na 0.1019 0.2039 0.6850
Hg 0.3439 0.6878 0.5325
Hg 0.6561 0.3122 0.4675
O 0.1192 0.2383 0.9285
O 0.8808 0.7617 0.0715


Entry 5:
Here is crystalline NaHgO at its relaxed geometry from Alexandria via LeMat-Bulk. Energies are from GGA-PBE.

Summary:
Formation energy without anion corrections: -0.40 eV per atom
Fermi-level density of states: 2.12 states/eV/cell
DFT total energy: -7.790 eV for the cell shown
Spin magnetization: 0.00 Bohr magnetons per cell
V: 49.5 Å³ per cell
Distance to the lowest polymorph of the same formula: 322 meV per atom

Cell: 3.0195 3.0195 5.8385 Å, 104.99 104.99 90.00°
Atoms (fractional coordinates):
Na 0.3276 0.3276 0.6553
Hg 0.5790 0.5790 0.1579
O 0.9434 0.9434 0.8868


Entry 6:
Here is crystalline Na2HgO at its relaxed geometry from Alexandria via LeMat-Bulk. Energies are from GGA-PBE.

Summary:
Formation energy without anion corrections: -0.83 eV per atom
Fermi-level density of states: 2.35 states/eV/cell
DFT total energy: -11.226 eV for the cell shown
Spin magnetization: 0.07 Bohr magnetons per cell
V: 86.0 Å³ per cell
Distance to the lowest polymorph of the same formula: 0 meV per atom

Cell: 3.6582 3.6582 7.7187 Å, 76.29 76.29 60.00°
Atoms (fractional coordinates):
Na 0.0422 0.0422 0.8735
Na 0.2904 0.2904 0.1287
Hg 0.5022 0.5022 0.4933
O 0.6652 0.6652 0.0044


Entry 7:
Here is crystalline Na5Hg2O4 at its relaxed geometry from Alexandria via LeMat-Bulk. Energies are from GGA-PBE.

Summary:
Formation energy without anion corrections: -0.75 eV per atom
Fermi-level density of states: 2.27 states/eV/cell
DFT total energy: -35.278 eV for the cell shown
Spin magnetization: 0.00 Bohr magnetons per cell
V: 186.6 Å³ per cell

Cell: 3.5535 6.4533 9.1078 Å, 113.89 101.25 90.00°
Atoms (fractional coordinates):
Na 0.2903 0.9280 0.5805
Na 0.7097 0.0720 0.4195
Na 0.1758 0.4281 0.3516
Na 0.5000 0.0000 0.0000
Na 0.8242 0.5719 0.6484
Hg 0.0859 0.6892 0.1717
Hg 0.9141 0.3108 0.8283
O 0.7177 0.7146 0.4353
O 0.9664 0.7188 0.9329
O 0.2823 0.2854 0.5647
O 0.0336 0.2812 0.0671


Entry 8:
Here is crystalline Na3Hg2O at its relaxed geometry from Alexandria via LeMat-Bulk. Energies are from GGA-PBE.

Summary:
Formation energy without anion corrections: -0.62 eV per atom
Fermi-level density of states: 4.01 states/eV/cell
DFT total energy: -26.509 eV for the cell shown
Spin magnetization: 0.00 Bohr magnetons per cell
V: 305.0 Å³ per cell

Cell: 7.3460 7.3460 6.5259 Å, 90.00 90.00 120.00°
Atoms (fractional coordinates):
Na 0.7454 0.8727 0.2500
Na 0.1273 0.2546 0.2500
Na 0.1273 0.8727 0.2500
Na 0.2546 0.1273 0.7500
Na 0.8727 0.7454 0.7500
Na 0.8727 0.1273 0.7500
Hg 0.3333 0.6667 0.9795
Hg 0.6667 0.3333 0.4795
Hg 0.6667 0.3333 0.0205
Hg 0.3333 0.6667 0.5205
O 0.0000 0.0000 0.0000
O 0.0000 0.0000 0.5000


Entry 9:
Here is crystalline Na7HgO2 at its relaxed geometry from Alexandria via LeMat-Bulk. Energies are from GGA-PBE.

Summary:
Formation energy without anion corrections: -0.70 eV per atom
Fermi-level density of states: 3.82 states/eV/cell
DFT total energy: -26.486 eV for the cell shown
Spin magnetization: 0.00 Bohr magnetons per cell
V: 220.6 Å³ per cell

Cell: 4.6677 7.2810 7.2810 Å, 116.95 90.00 90.00°
Atoms (fractional coordinates):
Na 0.0000 0.6906 0.3094
Na 0.0000 0.3094 0.6906
Na 0.5000 0.0430 0.3367
Na 0.5000 0.9570 0.6633
Na 0.5000 0.3367 0.0430
Na 0.5000 0.6633 0.9570
Na 0.5000 0.5000 0.5000
Hg 0.0000 0.0000 0.0000
O 0.5000 0.6946 0.3054
O 0.5000 0.3054 0.6946


Entry 10:
Here is crystalline NaHg6O8 at its relaxed geometry from Alexandria via LeMat-Bulk. Energies are from GGA-PBE.

Summary:
Formation energy without anion corrections: -0.19 eV per atom
Fermi-level density of states: 5.51 states/eV/cell
DFT total energy: -45.710 eV for the cell shown
Spin magnetization: 0.00 Bohr magnetons per cell
V: 230.9 Å³ per cell

Cell: 6.2491 6.2491 6.2491 Å, 100.16 100.16 100.16°
Atoms (fractional coordinates):
Na 0.0000 0.0000 0.0000
Hg 0.7306 0.4771 0.9367
Hg 0.4771 0.9367 0.7306
Hg 0.9367 0.7306 0.4771
Hg 0.2694 0.5229 0.0633
Hg 0.5229 0.0633 0.2694
Hg 0.0633 0.2694 0.5229
O 0.7126 0.7126 0.7126
O 0.2874 0.2874 0.2874
O 0.7092 0.7700 0.1868
O 0.7700 0.1868 0.7092
O 0.1868 0.7092 0.7700
O 0.2908 0.2300 0.8132
O 0.2300 0.8132 0.2908
O 0.8132 0.2908 0.2300


Entry 11:
Here is crystalline Na8Hg2O at its relaxed geometry from Alexandria via LeMat-Bulk. Energies are from GGA-PBE.

Summary:
Formation energy without anion corrections: -0.36 eV per atom
Fermi-level density of states: 4.70 states/eV/cell
DFT total energy: -20.041 eV for the cell shown
Spin magnetization: 0.00 Bohr magnetons per cell
V: 285.4 Å³ per cell

Cell: 5.1278 6.4536 9.6104 Å, 110.55 105.47 90.00°
Atoms (fractional coordinates):
Na 0.4135 0.6369 0.8271
Na 0.6150 0.9298 0.2300
Na 0.7747 0.7372 0.5493
Na 0.9929 0.2179 0.9857
Na 0.2253 0.2628 0.4507
Na 0.3850 0.0702 0.7700
Na 0.5865 0.3631 0.1729
Na 0.0071 0.7821 0.0143
Hg 0.8338 0.3110 0.6677
Hg 0.1662 0.6890 0.3323
O 0.5000 0.0000 0.0000


Entry 12:
Here is crystalline Na5Hg2O at its relaxed geometry from Alexandria via LeMat-Bulk. Energies are from GGA-PBE.

Summary:
Formation energy without anion corrections: -0.49 eV per atom
Fermi-level density of states: 2.55 states/eV/cell
DFT total energy: -16.114 eV for the cell shown
Spin magnetization: 0.00 Bohr magnetons per cell
V: 211.6 Å³ per cell

Cell: 6.6099 6.6093 6.6067 Å, 102.86 102.87 123.72°
Atoms (fractional coordinates):
Na 0.2216 0.8511 0.0000
Na 0.2220 0.2220 0.3708
Na 0.8513 0.8513 0.6292
Na 0.8511 0.2216 0.0001
Na 0.5997 0.5997 0.9998
Hg 0.7882 0.2882 0.5000
Hg 0.2882 0.7883 0.5001
O 0.9548 0.9548 0.9999